# Li2TcAs

A geometry-optimized Li2TcAs structure (PBE, Alexandria).

a = 4.225 Å, b = 4.225 Å, c = 4.225 Å
α = 60.00°, β = 60.00°, γ = 60.00°
Fractional positions:
As  0.500  0.500  0.500
Li  0.000  0.000  0.000
Li  0.750  0.750  0.750
Tc  0.250  0.250  0.250

Output
D(E_F) in states/eV per atom: 0.7099
Symmetry: F-43m, No. 216
Calculated formation energy in eV per atom: -0.14
Crystal system: cubic

# Li3TcAs

A geometry-optimized Li3TcAs structure (PBE, Alexandria).

a = 4.674 Å, b = 4.674 Å, c = 4.674 Å
α = 90.00°, β = 90.00°, γ = 90.00°
Each line ends with the local moment (μB).
Fractional positions:
As  0.000  0.000  0.000  0.13
Li  0.500  0.000  0.000  0.00
Li  0.000  0.000  0.500  0.00
Li  0.000  0.500  0.000  0.00
Tc  0.500  0.500  0.500  3.49

Output
D(E_F) in states/eV per atom: 0.5865
Symmetry: Pm-3m, No. 221
Calculated formation energy in eV per atom: 0.57
Energy above the most stable polymorph in this dataset in meV/atom: 0
Crystal system: cubic

> What is the calculated formation energy in the second record?

0.57 eV per atom